CrCuSe2 | PBE | relaxed

ΔE_f (raw) (eV/f.u.): 0.2
E_tot (eV per atom): -5.11
Relative energy among the computed polymorphs (meV/atom): 428

The structure in POSCAR format:
```
CrCuSe2
1.0
5.361 0.153 0.131
0.710 5.316 0.131
1.902 1.713 3.321
Se Cu Cr
2 1 1
direct
0.500 0.500 0.000
0.000 0.000 0.000
0.000 0.500 0.500
0.500 0.000 0.500
```